Below is a relaxed structure of K4Nd3FeO8, with properties calculated at the PBE with a Hubbard U level.

Calculated volume (Å³ per cell): 270.5
Final energy (eV per atom): -6.250

Cell: 7.4825 7.4825 7.4825 Å, 56.24 56.24 56.24°
Atoms (fractional coordinates):
K 0.0000 0.0000 0.0000
K 0.0000 0.5000 0.5000
K 0.5000 0.0000 0.5000
K 0.5000 0.5000 0.0000
Nd 0.0000 0.0000 0.5000
Nd 0.0000 0.5000 0.0000
Nd 0.5000 0.0000 0.0000
Fe 0.5000 0.5000 0.5000
O 0.2314 0.2314 0.2314
O 0.2528 0.7163 0.7163
O 0.2837 0.2837 0.7472
O 0.2837 0.7472 0.2837
O 0.7163 0.2528 0.7163
O 0.7163 0.7163 0.2528
O 0.7472 0.2837 0.2837
O 0.7686 0.7686 0.7686